Material: BaDyMn4O12
Method: DFT, PBE+U
State: optimized geometry

Output
V: 12.308 Å³/atom
calculated total energy: -121.490 eV for the cell shown

Cell: 5.399 5.399 7.602 Å, 90.00 90.00 90.00°
Atoms (fractional coordinates):
Ba 0.500 0.500 0.000
Dy 0.000 0.000 0.500
Mn 0.000 0.500 0.750
Mn 0.000 0.500 0.250
Mn 0.500 0.000 0.750
Mn 0.500 0.000 0.250
O 0.237 0.237 0.728
O 0.237 0.237 0.272
O 0.763 0.763 0.728
O 0.763 0.763 0.272
O 0.763 0.237 0.728
O 0.763 0.237 0.272
O 0.237 0.763 0.728
O 0.237 0.763 0.272
O 0.000 0.500 0.500
O 0.000 0.500 0.000
O 0.500 0.000 0.500
O 0.500 0.000 0.000